No. 1
An optimized crystal structure of CsTe2Cl. Source: the Alexandria database, functional PBE-GGA.

Computed properties:
The calculation puts the total energy at -10.11 eV per formula unit. As for the total moment: 0.0 Bohr magnetons per cell. For the energy above the most stable polymorph in this dataset, the calculation gives 0.4679 eV/atom. The density of states at the Fermi level is 2.16 states/eV/cell. As for the uncorrected formation energy: -283 meV per atom.

Unit cell a=6.5529 b=6.5529 c=6.5529 alpha=58.75 beta=58.75 gamma=58.75
With the nearest neighbours (Å) after each atom.
Atoms (fractional coordinates):
Te 0.1670 0.1670 0.1670  1 Cl 2.71
Te 0.8330 0.8330 0.8330  1 Cl 2.71
Cs 0.5000 0.5000 0.5000  6 Te 3.71
Cl 0.0000 0.0000 0.0000  2 Te 2.71

***

No. 2
An optimized crystal structure of Pm3P6Pd20. Source: the Alexandria database, functional PBE-GGA.

Computed properties:
The calculation puts the total energy at -170.88 eV per formula unit. The value obtained for the formation enthalpy at 0 K is -1960 kJ/mol of formula units. As for the total moment: 0.0 Bohr magnetons per cell. The density of states at the Fermi level is 20.41 states/eV/cell.

Unit cell a=8.7268 b=8.7268 c=8.7268 alpha=60.00 beta=60.00 gamma=60.00
With the nearest neighbours (Å) after each atom.
Atoms (fractional coordinates):
Pd 0.0000 0.0000 0.3465  2 P 2.41, 1 Pd 2.68
Pd 0.3857 0.3857 0.8428  3 P 2.51
Pd 0.8428 0.3857 0.3857  3 P 2.51
Pd 0.0000 0.3465 0.0000  2 P 2.41, 1 Pd 2.68
Pd 0.1572 0.6143 0.6143  3 P 2.51
Pd 0.6535 0.3465 0.0000  2 P 2.41, 1 Pd 2.68
Pd 0.6143 0.6143 0.1572  3 P 2.51
Pd 0.6535 0.0000 0.0000  2 P 2.41, 1 Pd 2.68
Pd 0.6143 0.6143 0.6143  3 P 2.51
Pd 0.0000 0.3465 0.6535  2 P 2.41, 1 Pd 2.68
Pd 0.3857 0.8428 0.3857  3 P 2.51
Pd 0.6143 0.1572 0.6143  3 P 2.51
Pd 0.3465 0.0000 0.6535  2 P 2.41, 1 Pd 2.68
Pd 0.3465 0.0000 0.0000  2 P 2.41, 1 Pd 2.68
Pd 0.3857 0.3857 0.3857  3 P 2.51
Pd 0.0000 0.6535 0.0000  2 P 2.41, 1 Pd 2.68
Pd 0.6535 0.0000 0.3465  2 P 2.41, 1 Pd 2.68
Pd 0.3465 0.6535 0.0000  2 P 2.41, 1 Pd 2.68
Pd 0.0000 0.6535 0.3465  2 P 2.41, 1 Pd 2.68
Pd 0.0000 0.0000 0.6535  2 P 2.41, 1 Pd 2.68
P 0.2626 0.7374 0.7374  8 Pd 2.41-2.51
P 0.2626 0.7374 0.2626  8 Pd 2.41-2.51
P 0.7374 0.2626 0.2626  8 Pd 2.41-2.51
P 0.7374 0.2626 0.7374  8 Pd 2.41-2.51
P 0.2626 0.2626 0.7374  8 Pd 2.41-2.51
P 0.7374 0.7374 0.2626  8 Pd 2.41-2.51
Pm 0.2500 0.2500 0.2500  4 Pd 2.90
Pm 0.7500 0.7500 0.7500  4 Pd 2.90
Pm 0.0000 0.0000 0.0000  12 Pd 3.02, 6 P 3.24

***

No. 3
An optimized crystal structure of Tl2ZnSiO4. Source: the Alexandria database, functional PBE-GGA.

Computed properties:
The calculation puts the total energy at -43.36 eV per formula unit. As for the total moment: 0.0 Bohr magnetons per cell. The density of states at the Fermi level is 0.00 states/eV/cell. As for the uncorrected formation energy: -1513 meV per atom.

Unit cell a=5.1068 b=6.2208 c=10.6732 alpha=84.36 beta=76.16 gamma=65.77
With the nearest neighbours (Å) after each atom.
Atoms (fractional coordinates):
Zn 0.7500 0.5000 0.5000  4 O 2.00
Zn 0.0000 0.0000 0.0000  4 O 2.00
Tl 0.5706 0.5000 0.8588  4 O 2.98-3.03
Tl 0.9294 0.5000 0.1412  4 O 2.98-3.03
Tl 0.8206 0.0000 0.3588  4 O 2.98-3.03
Tl 0.1794 0.0000 0.6412  4 O 2.98-3.03
Si 0.2500 0.5000 0.5000  4 O 1.67
Si 0.5000 0.0000 0.0000  4 O 1.67
O 0.3411 0.8274 0.0831  1 Si 1.67
O 0.4089 0.6726 0.4169  1 Si 1.67
O 0.5758 0.1726 0.0831  1 Si 1.67
O 0.1742 0.3274 0.4169  1 Si 1.67
O 0.2516 0.1726 0.9169  1 Si 1.67
O 0.8315 0.8274 0.9169  1 Si 1.67
O 0.9185 0.6726 0.5831  1 Si 1.67
O 0.4984 0.3274 0.5831  1 Si 1.67